Density functional theory data (GGA-PBEsol) for a relaxed structure of LaSbSI2.

```
data_LaSbSI2
_cell_length_a 5.405
_cell_length_b 5.405
_cell_length_c 5.229
_cell_angle_alpha 90.00
_cell_angle_beta 90.00
_cell_angle_gamma 90.00
_symmetry_space_group_name_H-M 'P 4/m m m'
_symmetry_Int_Tables_number 123
_symmetry_space_group_name_Hall '-P 4 2'
loop_
_atom_site_label
_atom_site_fract_x
_atom_site_fract_y
_atom_site_fract_z
_atom_site_occupancy
La1 0.000 0.000 0.000 1
Sb1 0.500 0.500 0.000 1
S1 0.500 0.500 0.500 1
I1 0.000 0.500 0.500 1
```

Calculated values
**Formation energy (no corrections)**: -1.17 eV per formula unit
**Raw total energy**: -3.7984 eV per atom
**Calculated density**: 5.94 g/cm3